CaTh2PaBi4 PBE relaxed; formation energy from the elements = -0.521 eV per atom; DFT total energy = -46.03 eV per cell; volume = 33.72 A^3/atom
1.0
4.557 0.000 0.000
0.000 7.938 0.159
0.000 -2.752 7.402
Ca Th Pa Bi
1 2 1 4
Direct
0.500 0.500 0.000
0.500 0.000 0.500
0.000 0.500 0.500
0.000 0.000 0.000
0.500 0.247 0.243
0.500 0.753 0.757
0.000 0.250 0.755
0.000 0.750 0.245